Model one:
{
  "formula": "BeReRh",
  "functional": "GGA-PBE",
  "state": "optimized geometry",
  "magmom_total_mub_per_cell": 0.0,
  "sg": "P2_1/m",
  "rho_g_cm3": 13.17,
  "lattice": [[2.774, 0.000, 0.000], [0.000, 3.824, 0.000], [-1.330, 0.000, 7.086]],
  "species": ["Be", "Be", "Re", "Re", "Rh", "Rh"],
  "fractional_positions": [[0.036, 0.250, 0.082], [0.964, 0.750, 0.918], [0.180, 0.250, 0.422], [0.820, 0.750, 0.578], [0.408, 0.250, 0.816], [0.592, 0.750, 0.184]]
}


Model two:
{
  "formula": "BeReRh",
  "functional": "GGA-PBE",
  "state": "optimized geometry",
  "magmom_total_mub_per_cell": 0.0,
  "sg": "Cm",
  "rho_g_cm3": 13.57,
  "lattice": [[7.953, 0.000, 0.000], [0.000, 4.469, 0.000], [-3.928, 0.000, 4.107]],
  "species": ["Be", "Be", "Be", "Be", "Re", "Re", "Re", "Re", "Rh", "Rh", "Rh", "Rh"],
  "fractional_positions": [[0.000, 0.247, 0.000], [0.000, 0.753, 0.000], [0.500, 0.253, 0.000], [0.500, 0.747, 0.000], [0.151, 0.500, 0.801], [0.162, 0.000, 0.509], [0.651, 0.000, 0.801], [0.662, 0.500, 0.509], [0.329, 0.500, 0.481], [0.340, 0.000, 0.190], [0.829, 0.000, 0.481], [0.840, 0.500, 0.190]]
}


Name the least stable of them. model two.


Model one:
{
  "formula": "LaSc2Fe",
  "functional": "GGA-PBE",
  "state": "optimized geometry",
  "magmom_total_mub_per_cell": 1.3,
  "sg": "Pmmm",
  "rho_g_cm3": 5.17,
  "lattice": [[3.929, 0.000, 0.000], [0.000, 4.682, 0.000], [0.000, 0.000, 4.974]],
  "species": ["La", "Sc", "Sc", "Fe"],
  "fractional_positions": [[0.000, 0.000, 0.000], [0.000, 0.500, 0.500], [0.500, 0.000, 0.500], [0.500, 0.500, 0.000]]
}


Model two:
{
  "formula": "LaSc2Fe",
  "functional": "GGA-PBE",
  "state": "optimized geometry",
  "magmom_total_mub_per_cell": 5.4,
  "sg": "R3m",
  "rho_g_cm3": 4.98,
  "lattice": [[3.420, 0.000, 0.000], [-1.710, 2.962, 0.000], [0.000, 0.000, 28.122]],
  "species": ["La", "La", "La", "Sc", "Sc", "Sc", "Sc", "Sc", "Sc", "Fe", "Fe", "Fe"],
  "fractional_positions": [[0.000, 0.000, 0.000], [0.333, 0.667, 0.667], [0.667, 0.333, 0.333], [0.000, 0.000, 0.230], [0.000, 0.000, 0.468], [0.333, 0.667, 0.134], [0.333, 0.667, 0.897], [0.667, 0.333, 0.564], [0.667, 0.333, 0.801], [0.000, 0.000, 0.738], [0.333, 0.667, 0.404], [0.667, 0.333, 0.071]]
}


Name the least stable of them. model one.


Model one:
{
  "formula": "Ti2GaPd2",
  "functional": "GGA-PBE",
  "state": "optimized geometry",
  "magmom_total_mub_per_cell": 0.0,
  "sg": "P-3m1",
  "rho_g_cm3": 7.22,
  "lattice": [[4.262, 0.000, 0.000], [-2.131, 3.691, 0.000], [0.000, 0.000, 5.534]],
  "species": ["Ti", "Ti", "Ga", "Pd", "Pd"],
  "fractional_positions": [[0.333, 0.667, 0.183], [0.667, 0.333, 0.817], [0.000, 0.000, 0.000], [0.333, 0.667, 0.656], [0.667, 0.333, 0.344]]
}


Model two:
{
  "formula": "Ti2GaPd2",
  "functional": "GGA-PBE",
  "state": "optimized geometry",
  "magmom_total_mub_per_cell": 0.0,
  "sg": "P4/mbm",
  "rho_g_cm3": 7.47,
  "lattice": [[7.573, 0.000, 0.000], [0.000, 7.573, 0.000], [0.000, 0.000, 2.931]],
  "species": ["Ti", "Ti", "Ti", "Ti", "Ga", "Ga", "Pd", "Pd", "Pd", "Pd"],
  "fractional_positions": [[0.164, 0.336, 0.000], [0.336, 0.836, 0.000], [0.664, 0.164, 0.000], [0.836, 0.664, 0.000], [0.000, 0.000, 0.000], [0.500, 0.500, 0.000], [0.131, 0.631, 0.500], [0.369, 0.131, 0.500], [0.631, 0.869, 0.500], [0.869, 0.369, 0.500]]
}


Name the least stable of them. model one.


Model one:
{
  "formula": "B5C7",
  "functional": "GGA-PBE",
  "state": "optimized geometry",
  "magmom_total_mub_per_cell": 0.0,
  "sg": "Cm",
  "rho_g_cm3": 2.90,
  "lattice": [[2.327, -3.860, 0.000], [2.327, 3.860, 0.000], [-1.842, 0.000, 4.403]],
  "species": ["B", "B", "B", "B", "B", "C", "C", "C", "C", "C", "C", "C"],
  "fractional_positions": [[0.000, 0.000, 0.000], [0.083, 0.083, 0.413], [0.456, 0.810, 0.383], [0.525, 0.525, 0.576], [0.810, 0.456, 0.383], [0.174, 0.827, 0.553], [0.301, 0.954, 0.899], [0.323, 0.664, 0.022], [0.602, 0.602, 0.923], [0.664, 0.323, 0.022], [0.827, 0.174, 0.553], [0.954, 0.301, 0.899]]
}


Model two:
{
  "formula": "B5C7",
  "functional": "GGA-PBE",
  "state": "optimized geometry",
  "magmom_total_mub_per_cell": 0.0,
  "sg": "P-4m2",
  "rho_g_cm3": 2.93,
  "lattice": [[2.498, 0.000, 0.000], [0.000, 2.498, 0.000], [0.000, 0.000, 12.537]],
  "species": ["B", "B", "B", "B", "B", "C", "C", "C", "C", "C", "C", "C"],
  "fractional_positions": [[0.000, 0.000, 0.000], [0.000, 0.500, 0.582], [0.000, 0.500, 0.894], [0.500, 0.000, 0.106], [0.500, 0.000, 0.418], [0.000, 0.000, 0.329], [0.000, 0.000, 0.671], [0.000, 0.500, 0.259], [0.500, 0.000, 0.741], [0.500, 0.500, 0.188], [0.500, 0.500, 0.500], [0.500, 0.500, 0.812]]
}


Name the least stable of them. model one.


Model one:
{
  "formula": "Ba2TaOs",
  "functional": "GGA-PBE",
  "state": "optimized geometry",
  "magmom_total_mub_per_cell": 0.3,
  "sg": "R3m",
  "rho_g_cm3": 6.93,
  "lattice": [[4.351, 0.000, 0.000], [-2.176, 3.768, 0.000], [0.000, 0.000, 28.327]],
  "species": ["Ba", "Ba", "Ba", "Ba", "Ba", "Ba", "Ta", "Ta", "Ta", "Os", "Os", "Os"],
  "fractional_positions": [[0.000, 0.000, 0.000], [0.000, 0.000, 0.178], [0.333, 0.667, 0.667], [0.333, 0.667, 0.845], [0.667, 0.333, 0.333], [0.667, 0.333, 0.512], [0.000, 0.000, 0.423], [0.333, 0.667, 0.089], [0.667, 0.333, 0.756], [0.000, 0.000, 0.755], [0.333, 0.667, 0.422], [0.667, 0.333, 0.089]]
}


Model two:
{
  "formula": "Ba2TaOs",
  "functional": "GGA-PBE",
  "state": "optimized geometry",
  "magmom_total_mub_per_cell": 0.4,
  "sg": "P4mm",
  "rho_g_cm3": 8.31,
  "lattice": [[3.564, 0.000, 0.000], [0.000, 3.564, 0.000], [0.000, 0.000, 10.156]],
  "species": ["Ba", "Ba", "Ta", "Os"],
  "fractional_positions": [[0.000, 0.000, 0.000], [0.500, 0.500, 0.401], [0.500, 0.500, 0.730], [0.000, 0.000, 0.658]]
}


Name the least stable of them. model two.